1.
Density functional theory data (PBE) for a relaxed NdSm2Dy2Y crystal.

- Formation enthalpy at 0 K: 264 meV per atom
- Density: 7.01 Mg/m³
- Symmetry: No. 58
- N(E_F): 9.907 states/eV/f.u.

Cell: 3.4121 6.6427 17.9628 Å, 90.00 90.00 90.00°
With the nearest neighbours (Å) after each atom.
Fractional positions:
1 Nd 0.5000 0.5000 0.0000  2 Nd 3.41, 4 Dy 3.51, 4 Y 3.73
2 Nd 0.0000 0.0000 0.5000  2 Nd 3.41, 4 Dy 3.51, 4 Y 3.73
3 Sm 0.5000 0.2698 0.3149  4 Dy 3.38-3.45, 2 Sm 3.41, 1 Y 3.66
4 Sm 0.0000 0.7698 0.1851  4 Dy 3.38-3.45, 2 Sm 3.41, 1 Y 3.66
5 Sm 0.5000 0.7302 0.6851  4 Dy 3.38-3.45, 2 Sm 3.41, 1 Y 3.66
6 Sm 0.0000 0.2302 0.8149  4 Dy 3.38-3.45, 2 Sm 3.41, 1 Y 3.66
7 Dy 0.5000 0.7711 0.3519  1 Y 3.21, 4 Sm 3.38-3.45, 2 Dy 3.41, 2 Nd 3.51
8 Dy 0.5000 0.2289 0.6481  1 Y 3.21, 4 Sm 3.38-3.45, 2 Dy 3.41, 2 Nd 3.51
9 Dy 0.0000 0.7289 0.8519  1 Y 3.21, 4 Sm 3.38-3.45, 2 Dy 3.41, 2 Nd 3.51
10 Dy 0.0000 0.2711 0.1481  1 Y 3.21, 4 Sm 3.38-3.45, 2 Dy 3.41, 2 Nd 3.51
11 Y 0.0000 0.0000 0.0000  2 Dy 3.21, 2 Y 3.41
12 Y 0.5000 0.5000 0.5000  2 Dy 3.21, 2 Y 3.41

***

2.
Density functional theory data (PBE) for a relaxed Nd5Sm2DyY crystal.

- Formation enthalpy at 0 K: 283 meV per atom
- Density: 6.77 Mg/m³
- Symmetry: No. 140
- N(E_F): 14.575 states/eV/f.u.

Cell: 8.6907 8.6907 10.3071 Å, 114.93 114.93 90.00°
With the nearest neighbours (Å) after each atom.
Fractional positions:
1 Nd 0.9273 0.4273 0.2834  1 Sm 3.10, 1 Y 3.19
2 Nd 0.6438 0.1438 0.7166  1 Sm 3.10, 1 Y 3.19
3 Nd 0.0727 0.5727 0.7166  1 Sm 3.10, 1 Y 3.19
4 Nd 0.1438 0.0727 0.7166  1 Sm 3.10, 1 Y 3.19
5 Nd 0.5727 0.6438 0.7166  1 Sm 3.10, 1 Y 3.19
6 Nd 0.8562 0.9273 0.2834  1 Sm 3.10, 1 Y 3.19
7 Nd 0.4273 0.3562 0.2834  1 Sm 3.10, 1 Y 3.19
8 Nd 0.3562 0.8562 0.2834  1 Sm 3.10, 1 Y 3.19
9 Nd 0.5000 0.5000 0.0000  4 Sm 3.46
10 Nd 0.0000 0.0000 0.0000  4 Sm 3.46
11 Sm 0.1204 0.3796 0.0000  1 Sm 2.96, 2 Nd 3.10
12 Sm 0.6204 0.1204 0.0000  1 Sm 2.96, 2 Nd 3.10
13 Sm 0.3796 0.8796 0.0000  1 Sm 2.96, 2 Nd 3.10
14 Sm 0.8796 0.6204 0.0000  1 Sm 2.96, 2 Nd 3.10
15 Dy 0.2500 0.2500 0.5000  8 Nd 3.58
16 Dy 0.7500 0.7500 0.5000  8 Nd 3.58
17 Y 0.2500 0.7500 0.5000  4 Nd 3.19
18 Y 0.7500 0.2500 0.5000  4 Nd 3.19

***

3.
Density functional theory data (PBE) for a relaxed NdSm2Dy5Y crystal.

- Formation enthalpy at 0 K: 271 meV per atom
- Density: 7.56 Mg/m³
- Symmetry: No. 140
- N(E_F): 10.954 states/eV/f.u.

Cell: 8.7783 8.7783 9.8744 Å, 116.39 116.39 90.00°
With the nearest neighbours (Å) after each atom.
Fractional positions:
1 Nd 0.2500 0.2500 0.5000  10 Dy 3.60-3.84
2 Nd 0.7500 0.7500 0.5000  10 Dy 3.60-3.84
3 Sm 0.1157 0.3843 0.0000  1 Sm 2.87, 2 Dy 3.01
4 Sm 0.6157 0.1157 0.0000  1 Sm 2.87, 2 Dy 3.01
5 Sm 0.3843 0.8843 0.0000  1 Sm 2.87, 2 Dy 3.01
6 Sm 0.8843 0.6157 0.0000  1 Sm 2.87, 2 Dy 3.01
7 Dy 0.9268 0.4268 0.2724  1 Sm 3.01, 1 Y 3.13
8 Dy 0.6544 0.1544 0.7276  1 Sm 3.01, 1 Y 3.13
9 Dy 0.0732 0.5732 0.7276  1 Sm 3.01, 1 Y 3.13
10 Dy 0.1544 0.0732 0.7276  1 Sm 3.01, 1 Y 3.13
11 Dy 0.5732 0.6544 0.7276  1 Sm 3.01, 1 Y 3.13
12 Dy 0.8456 0.9268 0.2724  1 Sm 3.01, 1 Y 3.13
13 Dy 0.4268 0.3456 0.2724  1 Sm 3.01, 1 Y 3.13
14 Dy 0.3456 0.8456 0.2724  1 Sm 3.01, 1 Y 3.13
15 Dy 0.5000 0.5000 0.0000  4 Sm 3.52, 8 Dy 3.78, 2 Nd 3.84
16 Dy 0.0000 0.0000 0.0000  4 Sm 3.52, 8 Dy 3.78, 2 Nd 3.84
17 Y 0.2500 0.7500 0.5000  4 Dy 3.13
18 Y 0.7500 0.2500 0.5000  4 Dy 3.13

***

4.
Density functional theory data (PBE) for a relaxed NdSm6Dy3Y2 crystal.

- Formation enthalpy at 0 K: 14 meV per atom
- Density: 7.17 Mg/m³
- Symmetry: No. 12
- N(E_F): 15.292 states/eV/f.u.

Cell: 6.2427 6.2427 11.9190 Å, 94.99 94.99 119.98°
With the nearest neighbours (Å) after each atom.
Fractional positions:
1 Nd 0.0000 0.0000 0.0000  6 Y 3.60, 6 Sm 3.62
2 Sm 0.9157 0.5823 0.7478  3 Dy 3.57-3.58, 6 Sm 3.60-3.61, 2 Y 3.62, 1 Nd 3.62
3 Sm 0.7509 0.7509 0.2521  3 Dy 3.58, 6 Sm 3.60-3.61, 1 Nd 3.62, 2 Y 3.62
4 Sm 0.0843 0.4177 0.2522  3 Dy 3.57-3.58, 6 Sm 3.60-3.61, 2 Y 3.62, 1 Nd 3.62
5 Sm 0.5823 0.9157 0.7478  3 Dy 3.57-3.58, 6 Sm 3.60-3.61, 2 Y 3.62, 1 Nd 3.62
6 Sm 0.2491 0.2491 0.7479  3 Dy 3.58, 6 Sm 3.60-3.61, 1 Nd 3.62, 2 Y 3.62
7 Sm 0.4177 0.0843 0.2522  3 Dy 3.57-3.58, 6 Sm 3.60-3.61, 2 Y 3.62, 1 Nd 3.62
8 Dy 0.1670 0.8330 0.5000  6 Sm 3.57-3.58, 6 Dy 3.60-3.61
9 Dy 0.8330 0.1670 0.5000  6 Sm 3.57-3.58, 6 Dy 3.60-3.61
10 Dy 0.5000 0.5000 0.5000  6 Sm 3.58, 6 Dy 3.60-3.61
11 Y 0.3334 0.6666 0.0000  3 Y 3.60-3.61, 3 Nd 3.60, 6 Sm 3.62
12 Y 0.6666 0.3334 0.0000  3 Y 3.60-3.61, 3 Nd 3.60, 6 Sm 3.62

***

5.
Density functional theory data (PBE) for a relaxed NdSmDy2Y2 crystal.

- Formation enthalpy at 0 K: 266 meV per atom
- Density: 6.56 Mg/m³
- Symmetry: No. 58
- N(E_F): 9.827 states/eV/f.u.

Cell: 3.4155 6.6008 17.8976 Å, 90.00 90.00 90.00°
With the nearest neighbours (Å) after each atom.
Fractional positions:
1 Nd 0.0000 0.0000 0.0000  2 Dy 3.22, 2 Nd 3.42
2 Nd 0.5000 0.5000 0.5000  2 Dy 3.22, 2 Nd 3.42
3 Sm 0.5000 0.5000 0.0000  2 Sm 3.42, 4 Dy 3.49, 4 Nd 3.72
4 Sm 0.0000 0.0000 0.5000  2 Sm 3.42, 4 Dy 3.49, 4 Nd 3.72
5 Dy 0.5000 0.7752 0.3516  1 Nd 3.22, 4 Y 3.35-3.43, 2 Dy 3.42, 2 Sm 3.49
6 Dy 0.5000 0.2248 0.6484  1 Nd 3.22, 4 Y 3.35-3.43, 2 Dy 3.42, 2 Sm 3.49
7 Dy 0.0000 0.7248 0.8516  1 Nd 3.22, 4 Y 3.35-3.43, 2 Dy 3.42, 2 Sm 3.49
8 Dy 0.0000 0.2752 0.1484  1 Nd 3.22, 4 Y 3.35-3.43, 2 Dy 3.42, 2 Sm 3.49
9 Y 0.5000 0.2734 0.3148  4 Dy 3.35-3.43, 2 Y 3.42, 1 Nd 3.64
10 Y 0.0000 0.7734 0.1852  4 Dy 3.35-3.43, 2 Y 3.42, 1 Nd 3.64
11 Y 0.5000 0.7266 0.6852  4 Dy 3.35-3.43, 2 Y 3.42, 1 Nd 3.64
12 Y 0.0000 0.2266 0.8148  4 Dy 3.35-3.43, 2 Y 3.42, 1 Nd 3.64

***

6.
Density functional theory data (PBE) for a relaxed Nd2Sm2DyY4 crystal.

- Formation enthalpy at 0 K: -1 meV per atom
- Density: 6.15 Mg/m³
- Symmetry: No. 12
- N(E_F): 12.661 states/eV/f.u.

Cell: 3.6371 9.6121 9.6720 Å, 115.23 90.00 100.91°
With the nearest neighbours (Å) after each atom.
Fractional positions:
1 Nd 0.3347 0.6695 0.0005  3 Y 3.57-3.59, 3 Sm 3.61-3.62, 2 Dy 3.61, 4 Nd 3.64-3.68
2 Nd 0.6653 0.3305 0.9995  3 Y 3.57-3.59, 3 Sm 3.61-3.62, 2 Dy 3.61, 4 Nd 3.64-3.68
3 Sm 0.8523 0.7047 0.3360  7 Y 3.55-3.65, 3 Nd 3.61-3.62, 2 Sm 3.64
4 Sm 0.1477 0.2953 0.6640  7 Y 3.55-3.65, 3 Nd 3.61-3.62, 2 Sm 3.64
5 Dy 0.0000 0.0000 0.0000  6 Y 3.58-3.59, 4 Nd 3.61, 2 Dy 3.64
6 Y 0.8149 0.6299 0.6653  3 Sm 3.55-3.64, 6 Y 3.57-3.64, 1 Dy 3.59, 2 Nd 3.59
7 Y 0.1851 0.3701 0.3347  3 Sm 3.55-3.64, 6 Y 3.57-3.64, 1 Dy 3.59, 2 Nd 3.59
8 Y 0.5193 0.0385 0.3330  4 Sm 3.56-3.65, 1 Nd 3.57, 2 Dy 3.58, 5 Y 3.61-3.64
9 Y 0.4807 0.9615 0.6670  4 Sm 3.56-3.65, 1 Nd 3.57, 2 Dy 3.58, 5 Y 3.61-3.64

***

7.
Density functional theory data (PBE) for a relaxed Nd2SmDyY6 crystal.

- Formation enthalpy at 0 K: 112 meV per atom
- Density: 5.66 Mg/m³
- Symmetry: No. 15
- N(E_F): 14.891 states/eV/f.u.

Cell: 9.8213 8.8127 8.8127 Å, 117.71 94.99 94.99°
With the nearest neighbours (Å) after each atom.
Fractional positions:
1 Nd 0.4558 0.8067 0.7073  5 Y 3.29-3.55, 2 Sm 3.37-3.40, 1 Dy 3.56
2 Nd 0.0442 0.2927 0.1933  5 Y 3.29-3.55, 2 Sm 3.37-3.40, 1 Dy 3.56
3 Nd 0.5442 0.1933 0.2927  5 Y 3.29-3.55, 2 Sm 3.37-3.40, 1 Dy 3.56
4 Nd 0.9558 0.7073 0.8067  5 Y 3.29-3.55, 2 Sm 3.37-3.40, 1 Dy 3.56
5 Sm 0.2500 0.9819 0.0181  4 Nd 3.37-3.40, 4 Y 3.60-3.66
6 Sm 0.7500 0.0181 0.9819  4 Nd 3.37-3.40, 4 Y 3.60-3.66
7 Dy 0.2500 0.4064 0.5936  8 Y 3.44-3.78, 2 Nd 3.56
8 Dy 0.7500 0.5936 0.4064  8 Y 3.44-3.78, 2 Nd 3.56
9 Y 0.0568 0.1213 0.7428  8 Y 3.44-3.79, 1 Nd 3.55, 1 Sm 3.66, 1 Dy 3.78
10 Y 0.4432 0.2572 0.8787  8 Y 3.44-3.79, 1 Nd 3.55, 1 Sm 3.66, 1 Dy 3.78
11 Y 0.9432 0.8787 0.2572  8 Y 3.44-3.79, 1 Nd 3.55, 1 Sm 3.66, 1 Dy 3.78
12 Y 0.5568 0.7428 0.1213  8 Y 3.44-3.79, 1 Nd 3.55, 1 Sm 3.66, 1 Dy 3.78
13 Y 0.3143 0.9807 0.4263  2 Y 3.28-3.60, 1 Nd 3.43, 1 Dy 3.48, 1 Sm 3.60
14 Y 0.1857 0.5737 0.0193  2 Y 3.28-3.60, 1 Nd 3.43, 1 Dy 3.48, 1 Sm 3.60
15 Y 0.6857 0.0193 0.5737  2 Y 3.28-3.60, 1 Nd 3.43, 1 Dy 3.48, 1 Sm 3.60
16 Y 0.8143 0.4263 0.9807  2 Y 3.28-3.60, 1 Nd 3.43, 1 Dy 3.48, 1 Sm 3.60
17 Y 0.1180 0.7035 0.4937  4 Y 3.28-3.54, 3 Nd 3.29-3.49, 2 Dy 3.44-3.58
18 Y 0.3820 0.5063 0.2965  4 Y 3.28-3.54, 3 Nd 3.29-3.49, 2 Dy 3.44-3.58
19 Y 0.8820 0.2965 0.5063  4 Y 3.28-3.54, 3 Nd 3.29-3.49, 2 Dy 3.44-3.58
20 Y 0.6180 0.4937 0.7035  4 Y 3.28-3.54, 3 Nd 3.29-3.49, 2 Dy 3.44-3.58

***

8.
Density functional theory data (PBE) for a relaxed Nd2SmDy2Y6 crystal.

- Formation enthalpy at 0 K: 149 meV per atom
- Density: 5.85 Mg/m³
- Symmetry: No. 12
- N(E_F): 17.977 states/eV/f.u.

Cell: 6.6844 6.6844 12.1016 Å, 101.60 101.60 129.44°
With the nearest neighbours (Å) after each atom.
Fractional positions:
1 Nd 0.8656 0.1344 0.0000  1 Nd 3.25, 8 Y 3.41-3.64
2 Nd 0.1344 0.8656 0.0000  1 Nd 3.25, 8 Y 3.41-3.64
3 Sm 0.0000 0.0000 0.5000  6 Dy 3.57-3.78, 8 Y 3.60-3.61
4 Dy 0.2952 0.7048 0.5000  2 Dy 3.06, 2 Y 3.32
5 Dy 0.7048 0.2952 0.5000  2 Dy 3.06, 2 Y 3.32
6 Y 0.7073 0.7073 0.7067  2 Dy 3.32, 4 Y 3.52, 2 Nd 3.53, 2 Sm 3.60-3.61
7 Y 0.1374 0.4436 0.7899  3 Nd 3.41-3.64, 5 Y 3.52-3.70, 1 Dy 3.54, 1 Sm 3.61
8 Y 0.2927 0.2927 0.2933  2 Dy 3.32, 4 Y 3.52, 2 Nd 3.53, 2 Sm 3.60-3.61
9 Y 0.4436 0.1374 0.7899  3 Nd 3.41-3.64, 5 Y 3.52-3.70, 1 Dy 3.54, 1 Sm 3.61
10 Y 0.8626 0.5564 0.2101  3 Nd 3.41-3.64, 5 Y 3.52-3.70, 1 Dy 3.54, 1 Sm 3.61
11 Y 0.5564 0.8626 0.2101  3 Nd 3.41-3.64, 5 Y 3.52-3.70, 1 Dy 3.54, 1 Sm 3.61

***

Please write out number 2 again, unchanged.
Density functional theory data (PBE) for a relaxed Nd5Sm2DyY crystal.

- Formation enthalpy at 0 K: 283 meV per atom
- Density: 6.77 Mg/m³
- Symmetry: No. 140
- N(E_F): 14.575 states/eV/f.u.

Cell: 8.6907 8.6907 10.3071 Å, 114.93 114.93 90.00°
With the nearest neighbours (Å) after each atom.
Fractional positions:
1 Nd 0.9273 0.4273 0.2834  1 Sm 3.10, 1 Y 3.19
2 Nd 0.6438 0.1438 0.7166  1 Sm 3.10, 1 Y 3.19
3 Nd 0.0727 0.5727 0.7166  1 Sm 3.10, 1 Y 3.19
4 Nd 0.1438 0.0727 0.7166  1 Sm 3.10, 1 Y 3.19
5 Nd 0.5727 0.6438 0.7166  1 Sm 3.10, 1 Y 3.19
6 Nd 0.8562 0.9273 0.2834  1 Sm 3.10, 1 Y 3.19
7 Nd 0.4273 0.3562 0.2834  1 Sm 3.10, 1 Y 3.19
8 Nd 0.3562 0.8562 0.2834  1 Sm 3.10, 1 Y 3.19
9 Nd 0.5000 0.5000 0.0000  4 Sm 3.46
10 Nd 0.0000 0.0000 0.0000  4 Sm 3.46
11 Sm 0.1204 0.3796 0.0000  1 Sm 2.96, 2 Nd 3.10
12 Sm 0.6204 0.1204 0.0000  1 Sm 2.96, 2 Nd 3.10
13 Sm 0.3796 0.8796 0.0000  1 Sm 2.96, 2 Nd 3.10
14 Sm 0.8796 0.6204 0.0000  1 Sm 2.96, 2 Nd 3.10
15 Dy 0.2500 0.2500 0.5000  8 Nd 3.58
16 Dy 0.7500 0.7500 0.5000  8 Nd 3.58
17 Y 0.2500 0.7500 0.5000  4 Nd 3.19
18 Y 0.7500 0.2500 0.5000  4 Nd 3.19